! KBaYB6O12 (meta-GGA SCAN, single point on PBEsol structure); values from VASP
! **Calculated volume**: 260.64 Å³/cell
! **Spin magnetization**: 0.006 μB/f.u.
! **ρ**: 3.33 g/cm³
! **N(E_F)**: 0.00 states/eV per atom
! **Uncorrected formation energy**: -2.906 eV per atom
! **Total energy**: -12.19 eV per atom
&SYSTEM
  ibrav = 0, nat = 21, ntyp = 5
/
ATOMIC_SPECIES
K 39.10 K.upf
Ba 137.33 Ba.upf
Y 88.91 Y.upf
B 10.81 B.upf
O 16.00 O.upf
CELL_PARAMETERS angstrom
3.595 2.075 5.823
-3.595 2.075 5.823
0.000 -4.151 5.823
ATOMIC_POSITIONS crystal
K 0.000 0.000 0.000
Ba 0.579 0.579 0.579
Y 0.789 0.789 0.789
B 0.031 0.158 0.420
B 0.151 0.535 0.425
B 0.158 0.420 0.031
B 0.420 0.031 0.158
B 0.425 0.151 0.535
B 0.535 0.425 0.151
O 0.119 0.617 0.863
O 0.210 0.317 0.584
O 0.247 0.993 0.371
O 0.317 0.584 0.210
O 0.371 0.247 0.993
O 0.475 0.947 0.692
O 0.584 0.210 0.317
O 0.617 0.863 0.119
O 0.692 0.475 0.947
O 0.863 0.119 0.617
O 0.947 0.692 0.475
O 0.993 0.371 0.247

---

! CuSb2Os (meta-GGA SCAN, single point on PBEsol structure); values from VASP
! **Calculated volume**: 77.55 Å³/cell
! **Spin magnetization**: 0.000 μB/f.u.
! **ρ**: 10.65 g/cm³
! **N(E_F)**: 0.72 states/eV per atom
! **Relative energy among the computed polymorphs**: 0.00 eV per formula unit
! **Uncorrected formation energy**: 0.341 eV per atom
! **Total energy**: -40.06 eV per atom
&SYSTEM
  ibrav = 0, nat = 4, ntyp = 3
/
ATOMIC_SPECIES
Cu 63.55 Cu.upf
Sb 121.76 Sb.upf
Os 190.23 Os.upf
CELL_PARAMETERS angstrom
3.239 0.000 0.000
0.000 3.239 0.000
0.000 0.000 7.392
ATOMIC_POSITIONS crystal
Cu 0.000 0.000 0.000
Sb 0.000 0.000 0.390
Sb 0.500 0.500 0.807
Os 0.500 0.500 0.187

---

! KTePbI2 (meta-GGA SCAN, single point on PBEsol structure); values from VASP
! **Calculated volume**: 235.18 Å³/cell
! **Spin magnetization**: 1.843 μB/f.u.
! **ρ**: 4.43 g/cm³
! **N(E_F)**: 0.81 states/eV per atom
! **Uncorrected formation energy**: -0.023 eV per atom
! **Total energy**: -38.99 eV per atom
&SYSTEM
  ibrav = 0, nat = 5, ntyp = 4
/
ATOMIC_SPECIES
K 39.10 K.upf
Te 127.60 Te.upf
Pb 207.20 Pb.upf
I 126.90 I.upf
CELL_PARAMETERS angstrom
6.130 0.000 0.000
0.000 6.130 0.000
0.000 0.000 6.259
ATOMIC_POSITIONS crystal
K 0.000 0.000 0.000
Te 0.000 0.000 0.500
Pb 0.500 0.500 0.000
I 0.000 0.500 0.500
I 0.500 0.000 0.500

---

! MnPPt2 (meta-GGA SCAN, single point on PBEsol structure); values from VASP
! **Calculated volume**: 55.64 Å³/cell
! **Formation enthalpy at 0 K**: -40 kJ/mol of atoms
! **Spin magnetization**: 3.855 μB/f.u.
! **ρ**: 14.21 g/cm³
! **N(E_F)**: 0.35 states/eV per atom
! **Total energy**: -42.68 eV per atom
&SYSTEM
  ibrav = 0, nat = 4, ntyp = 3
/
ATOMIC_SPECIES
Mn 54.94 Mn.upf
P 30.97 P.upf
Pt 195.08 Pt.upf
CELL_PARAMETERS angstrom
-1.552 2.123 4.221
1.552 -2.123 4.221
1.552 2.123 -4.221
ATOMIC_POSITIONS crystal
Mn 0.000 0.000 0.000
P 0.784 0.284 0.500
Pt 0.296 0.796 0.500
Pt 0.577 0.577 0.000

---

! YSi2Ag (meta-GGA SCAN, single point on PBEsol structure); values from VASP
! **Calculated volume**: 73.38 Å³/cell
! **Spin magnetization**: 0.000 μB/f.u.
! **ρ**: 5.72 g/cm³
! **N(E_F)**: 0.45 states/eV per atom
! **Uncorrected formation energy**: -0.135 eV per atom
! **Total energy**: -19.95 eV per atom
&SYSTEM
  ibrav = 0, nat = 4, ntyp = 3
/
ATOMIC_SPECIES
Y 88.91 Y.upf
Si 28.09 Si.upf
Ag 107.87 Ag.upf
CELL_PARAMETERS angstrom
3.140 0.000 0.000
0.000 4.496 0.000
0.000 0.000 5.198
ATOMIC_POSITIONS crystal
Y 0.000 0.000 0.000
Si 0.500 0.000 0.484
Si 0.500 0.500 0.235
Ag 0.500 0.500 0.734

---

! NbTeH2Au (meta-GGA SCAN, single point on PBEsol structure); values from VASP
! **Calculated volume**: 79.55 Å³/cell
! **Spin magnetization**: 1.170 μB/f.u.
! **ρ**: 8.76 g/cm³
! **N(E_F)**: 0.33 states/eV per atom
! **Total energy**: -28.98 eV per atom
&SYSTEM
  ibrav = 0, nat = 5, ntyp = 4
/
ATOMIC_SPECIES
Nb 92.91 Nb.upf
Te 127.60 Te.upf
H 1.01 H.upf
Au 196.97 Au.upf
CELL_PARAMETERS angstrom
3.873 0.000 0.000
0.000 3.873 0.000
0.000 0.000 5.304
ATOMIC_POSITIONS crystal
Nb 0.000 0.000 0.000
Te 0.500 0.500 0.500
H 0.000 0.500 0.000
H 0.500 0.000 0.000
Au 0.000 0.000 0.500

---

! YTa3O9 (meta-GGA SCAN, single point on PBEsol structure); values from VASP
! **Calculated volume**: 319.72 Å³/cell
! **Spin magnetization**: 0.000 μB/f.u.
! **ρ**: 8.06 g/cm³
! **N(E_F)**: 0.00 states/eV per atom
! **Relative energy among the computed polymorphs**: 0.00 eV per formula unit
! **Uncorrected formation energy**: -3.286 eV per atom
! **Total energy**: -25.11 eV per atom
&SYSTEM
  ibrav = 0, nat = 26, ntyp = 3
/
ATOMIC_SPECIES
Y 88.91 Y.upf
Ta 180.95 Ta.upf
O 16.00 O.upf
CELL_PARAMETERS angstrom
5.240 0.000 0.000
0.000 7.438 0.000
-0.353 0.000 8.203
ATOMIC_POSITIONS crystal
Y 0.034 0.250 0.434
Y 0.966 0.750 0.566
Ta 0.000 0.000 0.000
Ta 0.000 0.500 0.000
Ta 0.471 0.007 0.697
Ta 0.471 0.493 0.697
Ta 0.529 0.507 0.303
Ta 0.529 0.993 0.303
O 0.101 0.250 0.977
O 0.145 0.566 0.783
O 0.145 0.934 0.783
O 0.258 0.544 0.467
O 0.258 0.956 0.467
O 0.327 0.556 0.119
O 0.327 0.944 0.119
O 0.332 0.250 0.653
O 0.422 0.250 0.313
O 0.578 0.750 0.687
O 0.668 0.750 0.347
O 0.673 0.056 0.881
O 0.673 0.444 0.881
O 0.742 0.044 0.533
O 0.742 0.456 0.533
O 0.855 0.066 0.217
O 0.855 0.434 0.217
O 0.899 0.750 0.023

---

! LaPCO2 (meta-GGA SCAN, single point on PBEsol structure); values from VASP
! **Calculated volume**: 61.36 Å³/cell
! **Spin magnetization**: 0.004 μB/f.u.
! **ρ**: 5.79 g/cm³
! **N(E_F)**: 0.62 states/eV per atom
! **Uncorrected formation energy**: -0.413 eV per atom
! **Total energy**: -15.63 eV per atom
&SYSTEM
  ibrav = 0, nat = 5, ntyp = 4
/
ATOMIC_SPECIES
La 138.91 La.upf
P 30.97 P.upf
C 12.01 C.upf
O 16.00 O.upf
CELL_PARAMETERS angstrom
4.133 0.000 0.000
0.000 4.133 0.000
0.000 0.000 3.592
ATOMIC_POSITIONS crystal
La 0.000 0.000 0.000
P 0.500 0.500 0.000
C 0.500 0.500 0.500
O 0.000 0.500 0.500
O 0.500 0.000 0.500

---

! SiMo3N (meta-GGA SCAN, single point on PBEsol structure); values from VASP
! **Calculated volume**: 65.57 Å³/cell
! **Spin magnetization**: 0.000 μB/f.u.
! **ρ**: 8.35 g/cm³
! **N(E_F)**: 0.34 states/eV per atom
! **Uncorrected formation energy**: -0.109 eV per atom
! **Total energy**: -24.90 eV per atom
&SYSTEM
  ibrav = 0, nat = 5, ntyp = 3
/
ATOMIC_SPECIES
Si 28.09 Si.upf
Mo 95.94 Mo.upf
N 14.01 N.upf
CELL_PARAMETERS angstrom
4.033 0.000 0.000
0.000 4.033 0.000
0.000 0.000 4.033
ATOMIC_POSITIONS crystal
Si 0.000 0.000 0.000
Mo 0.000 0.500 0.500
Mo 0.500 0.000 0.500
Mo 0.500 0.500 0.000
N 0.500 0.500 0.500

---

! TbCu3S3 (meta-GGA SCAN, single point on PBEsol structure); values from VASP
! **Calculated volume**: 235.58 Å³/cell
! **Spin magnetization**: 0.000 μB/f.u.
! **ρ**: 6.28 g/cm³
! **N(E_F)**: 0.00 states/eV per atom
! **Uncorrected formation energy**: -0.988 eV per atom
! **Total energy**: -18.31 eV per atom
&SYSTEM
  ibrav = 0, nat = 14, ntyp = 3
/
ATOMIC_SPECIES
Tb 158.93 Tb.upf
Cu 63.55 Cu.upf
S 32.06 S.upf
CELL_PARAMETERS angstrom
3.291 1.900 6.278
-3.291 1.900 6.278
0.000 -3.800 6.278
ATOMIC_POSITIONS crystal
Tb 0.167 0.167 0.167
Tb 0.833 0.833 0.833
Cu 0.034 0.720 0.377
Cu 0.280 0.623 0.966
Cu 0.377 0.034 0.720
Cu 0.623 0.966 0.280
Cu 0.720 0.377 0.034
Cu 0.966 0.280 0.623
S 0.088 0.416 0.743
S 0.257 0.912 0.584
S 0.416 0.743 0.088
S 0.584 0.257 0.912
S 0.743 0.088 0.416
S 0.912 0.584 0.257

---

! BeTl2S (meta-GGA SCAN, single point on PBEsol structure); values from VASP
! **Calculated volume**: 89.69 Å³/cell
! **Spin magnetization**: 0.000 μB/f.u.
! **ρ**: 8.33 g/cm³
! **N(E_F)**: 0.20 states/eV per atom
! **Uncorrected formation energy**: 0.517 eV per atom
! **Total energy**: -39.16 eV per atom
&SYSTEM
  ibrav = 0, nat = 4, ntyp = 3
/
ATOMIC_SPECIES
Be 9.01 Be.upf
Tl 204.38 Tl.upf
S 32.06 S.upf
CELL_PARAMETERS angstrom
0.000 3.553 3.553
3.553 0.000 3.553
3.553 3.553 0.000
ATOMIC_POSITIONS crystal
Be 0.000 0.000 0.000
Tl 0.250 0.250 0.250
Tl 0.750 0.750 0.750
S 0.500 0.500 0.500

---

! Ag2RuBr (meta-GGA SCAN, single point on PBEsol structure); values from VASP
! **Calculated volume**: 72.19 Å³/cell
! **Spin magnetization**: 2.003 μB/f.u.
! **ρ**: 9.13 g/cm³
! **N(E_F)**: 1.18 states/eV per atom
! **Relative energy among the computed polymorphs**: 1.54 eV per formula unit
! **Uncorrected formation energy**: 0.884 eV per atom
! **Total energy**: -28.37 eV per atom
&SYSTEM
  ibrav = 0, nat = 4, ntyp = 3
/
ATOMIC_SPECIES
Ag 107.87 Ag.upf
Ru 101.07 Ru.upf
Br 79.90 Br.upf
CELL_PARAMETERS angstrom
0.000 3.305 3.305
3.305 0.000 3.305
3.305 3.305 0.000
ATOMIC_POSITIONS crystal
Ag 0.250 0.250 0.250
Ag 0.750 0.750 0.750
Ru 0.000 0.000 0.000
Br 0.500 0.500 0.500